No. 1
# PBE Cu2TcRh, optimized geometry
data_Cu2TcRh
_cell_length_a 4.236
_cell_length_b 4.236
_cell_length_c 4.236
_cell_angle_alpha 60.00
_cell_angle_beta 60.00
_cell_angle_gamma 60.00
_symmetry_space_group_name_H-M 'P 1'
_symmetry_Int_Tables_number 1
loop_
_symmetry_equiv_pos_as_xyz
'x,y,z'
loop_
_atom_site_label
_atom_site_type_symbol
_atom_site_fract_x
_atom_site_fract_y
_atom_site_fract_z
_atom_site_occupancy
Rh1 Rh 0.500 0.500 0.500 1
Cu1 Cu 0.250 0.250 0.250 1
Cu2 Cu 0.000 0.000 0.000 1
Tc1 Tc 0.750 0.750 0.750 1
# Electronic total energy, Ry/atom: -0.46013
# DOS(E_F), states/eV per atom: 0.262
# Energy of formation, eV/atom: 0.22



No. 2
# PBE CuTcRh6, optimized geometry
data_CuTcRh6
_cell_length_a 3.823
_cell_length_b 3.823
_cell_length_c 7.684
_cell_angle_alpha 90.00
_cell_angle_beta 90.00
_cell_angle_gamma 90.00
_symmetry_space_group_name_H-M 'P 1'
_symmetry_Int_Tables_number 1
loop_
_symmetry_equiv_pos_as_xyz
'x,y,z'
loop_
_atom_site_label
_atom_site_type_symbol
_atom_site_fract_x
_atom_site_fract_y
_atom_site_fract_z
_atom_site_occupancy
Tc1 Tc 0.000 0.000 0.500 1
Rh1 Rh 0.500 0.500 0.500 1
Rh2 Rh 0.000 0.500 0.747 1
Rh3 Rh 0.500 0.500 0.000 1
Rh4 Rh 0.500 0.000 0.253 1
Rh5 Rh 0.000 0.500 0.253 1
Rh6 Rh 0.500 0.000 0.747 1
Cu1 Cu 0.000 0.000 0.000 1
# Electronic total energy, Ry/atom: -0.54067
# DOS(E_F), states/eV per atom: 1.025
# Energy of formation, eV/atom: -0.03



No. 3
# PBE CuTc2Rh, optimized geometry
data_CuTc2Rh
_cell_length_a 4.762
_cell_length_b 4.762
_cell_length_c 4.576
_cell_angle_alpha 80.38
_cell_angle_beta 80.38
_cell_angle_gamma 33.14
_symmetry_space_group_name_H-M 'P 1'
_symmetry_Int_Tables_number 1
loop_
_symmetry_equiv_pos_as_xyz
'x,y,z'
loop_
_atom_site_label
_atom_site_type_symbol
_atom_site_fract_x
_atom_site_fract_y
_atom_site_fract_z
_atom_site_occupancy
Tc1 Tc 0.996 0.996 0.000 1
Tc2 Tc 0.504 0.504 0.500 1
Cu1 Cu 0.750 0.750 0.750 1
Rh1 Rh 0.250 0.250 0.250 1
# Electronic total energy, Ry/atom: -0.58209
# DOS(E_F), states/eV per atom: 0.988
# Energy of formation, eV/atom: 0.13



No. 4
# PBE Cu4TcRh, optimized geometry
data_Cu4TcRh
_cell_length_a 4.768
_cell_length_b 4.768
_cell_length_c 4.768
_cell_angle_alpha 60.00
_cell_angle_beta 60.00
_cell_angle_gamma 60.00
_symmetry_space_group_name_H-M 'P 1'
_symmetry_Int_Tables_number 1
loop_
_symmetry_equiv_pos_as_xyz
'x,y,z'
loop_
_atom_site_label
_atom_site_type_symbol
_atom_site_fract_x
_atom_site_fract_y
_atom_site_fract_z
_atom_site_occupancy
Cu1 Cu 0.375 0.875 0.375 1
Cu2 Cu 0.875 0.375 0.375 1
Cu3 Cu 0.375 0.375 0.875 1
Cu4 Cu 0.375 0.375 0.375 1
Rh1 Rh 0.750 0.750 0.750 1
Tc1 Tc 0.000 0.000 0.000 1
# Electronic total energy, Ry/atom: -0.40302
# DOS(E_F), states/eV per atom: 1.065
# Energy of formation, eV/atom: 0.20



No. 5
# PBE Cu2TcRh, optimized geometry
data_Cu2TcRh
_cell_length_a 4.207
_cell_length_b 4.207
_cell_length_c 4.207
_cell_angle_alpha 60.00
_cell_angle_beta 60.00
_cell_angle_gamma 60.00
_symmetry_space_group_name_H-M 'P 1'
_symmetry_Int_Tables_number 1
loop_
_symmetry_equiv_pos_as_xyz
'x,y,z'
loop_
_atom_site_label
_atom_site_type_symbol
_atom_site_fract_x
_atom_site_fract_y
_atom_site_fract_z
_atom_site_occupancy
Rh1 Rh 0.500 0.500 0.500 1
Tc1 Tc 0.000 0.000 0.000 1
Cu1 Cu 0.250 0.250 0.250 1
Cu2 Cu 0.750 0.750 0.750 1
# Electronic total energy, Ry/atom: -0.45461
# DOS(E_F), states/eV per atom: 1.115
# Energy of formation, eV/atom: 0.29



No. 6
# PBE Cu2TcRh, optimized geometry
data_Cu2TcRh
_cell_length_a 2.703
_cell_length_b 2.703
_cell_length_c 7.265
_cell_angle_alpha 90.00
_cell_angle_beta 90.00
_cell_angle_gamma 90.00
_symmetry_space_group_name_H-M 'P 1'
_symmetry_Int_Tables_number 1
loop_
_symmetry_equiv_pos_as_xyz
'x,y,z'
loop_
_atom_site_label
_atom_site_type_symbol
_atom_site_fract_x
_atom_site_fract_y
_atom_site_fract_z
_atom_site_occupancy
Tc1 Tc 0.500 0.500 0.751 1
Rh1 Rh 0.000 0.000 0.498 1
Cu1 Cu 0.000 0.000 0.011 1
Cu2 Cu 0.500 0.500 0.240 1
# Electronic total energy, Ry/atom: -0.47281
# DOS(E_F), states/eV per atom: 0.823
# Energy of formation, eV/atom: 0.04